The following is a GGA-PBE calculation of a geometry-optimized Li3As5 structure, from Alexandria via LeMat-Bulk.

Calculated values
relative energy among the computed polymorphs	0	meV per atom

Geometry as CIF:
```
data_Li3As5
_chemical_formula_sum 'Li24 As40'
_symmetry_space_group_name_H-M 'F d d 2'
_symmetry_Int_Tables_number 43
_symmetry_space_group_name_Hall 'F 2 -2d'
_cell_length_a 6.294
_cell_length_b 16.802
_cell_length_c 12.275
_cell_angle_alpha 90.00
_cell_angle_beta 90.00
_cell_angle_gamma 90.00
loop_
_atom_site_label
_atom_site_fract_x
_atom_site_fract_y
_atom_site_fract_z
Li1 0.000 0.000 0.000
Li2 0.015 0.166 0.486
As1 0.000 0.000 0.406
As2 0.036 0.168 0.077
As3 0.101 0.197 0.879
```